This record from the Alexandria database describes a PBEsol-optimized structure of KZrCl2. The functional is meta-GGA SCAN.

* uncorrected formation energy: -1.15 eV per atom
* E above lowest polymorph: 0.00 eV/f.u.
* total magnetic moment: 0.224 μB/atom

Structure (CIF):
```
data_KZrCl2
_space_group_name_H-M_alt 'I m m 2'
_space_group_IT_number 44
_cell_length_a 3.385
_cell_length_b 3.707
_cell_length_c 14.271
_cell_angle_alpha 90.00
_cell_angle_beta 90.00
_cell_angle_gamma 90.00
loop_
_space_group_symop_operation_xyz
'x,y,z'
'-x,-y,z'
'-x,y,z'
'x,-y,z'
'x+1/2,y+1/2,z+1/2'
'-x+1/2,-y+1/2,z+1/2'
'-x+1/2,y+1/2,z+1/2'
'x+1/2,-y+1/2,z+1/2'
loop_
_atom_site_label
_atom_site_type_symbol
_atom_site_fract_x
_atom_site_fract_y
_atom_site_fract_z
K1 K 0.000 0.000 0.000
Zr1 Zr 0.000 0.500 0.745
Cl1 Cl 0.000 0.000 0.617
Cl2 Cl 0.000 0.500 0.316
```